{"formula": "SbP3", "functional": "meta-GGA SCAN", "state": "single point on PBEsol structure", "dos_at_fermi_per_ev_cell": 1.740, "raw_formation_energy_ev_per_atom": 0.702, "polymorph_energy_mev_per_atom": 0, "lattice_angstrom": [[-0.757, 0.174, -3.021], [2.986, -0.460, -0.774], [-1.134, -7.146, -0.127]], "species": ["P", "P", "P", "Sb"], "fractional_positions": [[0.500, 0.500, 0.000], [0.000, 0.000, 0.169], [0.000, 0.000, 0.831], [0.500, 0.500, 0.500]]}